[1]
Density functional theory data (PBE) for a relaxed structure of NaTiP3.

extended XYZ file:
```
5
Lattice="4.738 0.000 0.000 0.000 4.738 0.000 0.000 0.000 4.738" Properties=species:S:1:pos:R:3 pbc="T T T"
Na 0.000 0.000 0.000
Ti 2.369 2.369 2.369
P 0.000 2.369 2.369
P 2.369 0.000 2.369
P 2.369 2.369 0.000
```

Output
total magnetic moment	0.000	μB/atom
space-group type	Pm-3m (221)
calculated density	2.557	g/cm3
raw total energy	-25.88	eV/cell
formation energy	-87	meV/atom

***

[2]
Density functional theory data (PBE) for a relaxed structure of Pu2Cu3Ge4Pd.

extended XYZ file:
```
10
Lattice="4.188 0.000 0.000 0.000 4.188 0.000 0.000 0.000 10.128" Properties=species:S:1:pos:R:3 pbc="T T T"
Pu 0.000 2.094 2.505
Pu 2.094 0.000 7.624
Cu 0.000 2.094 8.838
Cu 2.094 0.000 1.290
Cu 2.094 2.094 5.064
Ge 0.000 0.000 0.000
Ge 0.000 2.094 6.472
Ge 2.094 0.000 3.656
Ge 2.094 2.094 0.000
Pd 0.000 0.000 5.064
```

Output
total magnetic moment	1.076	μB/atom
space-group type	P-4m2 (115)
calculated density	10.053	g/cm3
raw total energy	-68.27	eV/cell
formation energy	-366	meV/atom

***

[3]
Density functional theory data (PBE) for a relaxed structure of YRuBr3.

extended XYZ file:
```
5
Lattice="5.022 0.000 0.000 0.000 5.022 0.000 0.000 0.000 5.022" Properties=species:S:1:pos:R:3 pbc="T T T"
Y 0.000 0.000 0.000
Ru 2.511 2.511 2.511
Br 0.000 2.511 2.511
Br 2.511 0.000 2.511
Br 2.511 2.511 0.000
```

Output
total magnetic moment	0.000	μB/atom
uncorrected formation energy	-0.08	eV per atom
space-group type	Pm-3m (221)
calculated density	5.633	g/cm3
raw total energy	-21.16	eV/cell